No. 1
Material: LaC3F
Method: DFT, GGA-PBE
State: optimized geometry

E_form (uncorrected) = 1.990 eV per atom
energy above the lowest structure with this stoichiometry = 0 meV per atom
total moment = 0.00 μB per formula unit
DOS(E_F) = 5.0 states/eV per cell
theoretical density = 4998 kg/m³

Unit cell a=4.0090 b=4.0090 c=4.0090 alpha=90.00 beta=90.00 gamma=90.00
Positions (direct):
C 0.0000 0.5000 0.0000
C 0.0000 0.0000 0.5000
C 0.5000 0.0000 0.0000
F 0.0000 0.0000 0.0000
La 0.5000 0.5000 0.5000

***

No. 2
Material: CsScSCl2
Method: DFT, GGA-PBE
State: optimized geometry

E_form (uncorrected) = -1.889 eV per atom
energy above the lowest structure with this stoichiometry = 0 meV per atom
total moment = 0.00 μB per formula unit
DOS(E_F) = 0.0 states/eV per cell
theoretical density = 3396 kg/m³

Unit cell a=5.2664 b=5.2664 c=4.9507 alpha=90.00 beta=90.00 gamma=90.00
Positions (direct):
Cs 0.5000 0.5000 0.5000
Sc 0.0000 0.0000 0.0000
S 0.0000 0.0000 0.5000
Cl 0.0000 0.5000 0.0000
Cl 0.5000 0.0000 0.0000

***

No. 3
Material: Nd4InHg5
Method: DFT, GGA-PBE
State: optimized geometry

ΔH_f (0 K) = -4.1 eV/f.u.
total moment = 1.14 μB per formula unit
DOS(E_F) = 8.9 states/eV per cell
theoretical density = 10225 kg/m³

Unit cell a=3.8537 b=3.8537 c=18.5321 alpha=90.00 beta=90.00 gamma=90.00
Positions (direct):
Nd 0.0000 0.0000 0.1911
Nd 0.0000 0.0000 0.3974
Nd 0.0000 0.0000 0.6026
Nd 0.0000 0.0000 0.8089
In 0.0000 0.0000 0.0000
Hg 0.5000 0.5000 0.0930
Hg 0.5000 0.5000 0.2966
Hg 0.5000 0.5000 0.5000
Hg 0.5000 0.5000 0.7034
Hg 0.5000 0.5000 0.9070

***

No. 4
Material: H2ClF
Method: DFT, GGA-PBE
State: optimized geometry

energy above the lowest structure with this stoichiometry = 0 meV per atom
total moment = 0.00 μB per formula unit
DOS(E_F) = 0.0 states/eV per cell
theoretical density = 1513 kg/m³

Unit cell a=4.1882 b=4.1882 c=12.2353 alpha=90.00 beta=90.00 gamma=60.00
Positions (direct):
H 0.1050 0.0083 0.9052
H 0.8867 0.1050 0.5719
H 0.0083 0.8867 0.2386
H 0.1133 0.9917 0.4281
H 0.8950 0.1133 0.0948
H 0.9917 0.8950 0.7614
Cl 0.0000 0.2928 0.0000
Cl 0.2928 0.7072 0.3333
Cl 0.7072 0.0000 0.6667
F 0.8028 0.0000 0.1667
F 0.1972 0.8028 0.8333
F 0.0000 0.1972 0.5000

***

No. 5
Material: Er4Pd6Pt7
Method: DFT, GGA-PBE
State: optimized geometry

ΔH_f (0 K) = -14.2 eV/f.u.
total moment = 0.00 μB per formula unit
DOS(E_F) = 6.0 states/eV per cell
theoretical density = 14469 kg/m³

Unit cell a=7.3590 b=7.3590 c=7.3590 alpha=109.47 beta=109.47 gamma=109.47
Positions (direct):
Er 0.5000 0.0000 0.0000
Er 0.5000 0.5000 0.5000
Er 0.0000 0.5000 0.0000
Er 0.0000 0.0000 0.5000
Pd 0.6994 0.0000 0.6994
Pd 0.6994 0.6994 0.0000
Pd 0.0000 0.3006 0.3006
Pd 0.3006 0.0000 0.3006
Pd 0.3006 0.3006 0.0000
Pd 0.0000 0.6994 0.6994
Pt 0.7500 0.5000 0.2500
Pt 0.2500 0.7500 0.5000
Pt 0.5000 0.7500 0.2500
Pt 0.7500 0.2500 0.5000
Pt 0.2500 0.5000 0.7500
Pt 0.5000 0.2500 0.7500
Pt 0.0000 0.0000 0.0000